YRePt2C: relaxed, GGA-PBE.

Lattice parameters (Å, degrees): 5.029 5.019 5.029 90.00 90.00 90.00
Each line ends with the local moment (μB).
Fractional coordinates of all 5 atoms:
Y (0.000, 0.000, 0.000)  -0.01
Re (0.000, 0.500, 0.000)  0.31
C (0.500, 0.500, 0.500)  0.21
Pt (0.000, 0.000, 0.500)  -0.02
Pt (0.500, 0.000, 0.000)  -0.01

D(E_F) = 1.55 states/eV per atom
energy of formation = 3.230 eV per atom